No. 1
Below is Ag5Te2Br2 after structural relaxation, with properties calculated at the PBE level.

Cell and atoms, written as POSCAR:
```
Ag5Te2Br2
1.0
-1.1412 0.5409 -4.1046
-9.7160 3.6640 0.9375
-3.3633 7.9687 -0.2614
Ag Br Te
5 2 2
Cartesian
-7.2763 7.7384 -3.6971
-12.9557 9.9926 -1.8210
-1.2648 2.1810 -1.6075
0.0000 0.0000 0.0000
-6.9442 4.4352 0.2685
-7.0013 9.1710 -1.3382
-7.2193 3.0027 -2.0904
-10.0368 6.8400 -3.0480
-4.1838 5.3337 -0.3806
```

**Energy above the most stable polymorph in this dataset**: 0 kJ/mol of formula units
**Formation energy without anion corrections**: -0.151 eV per atom
**Volume**: 273.8 Å³ per cell

No. 2
Below is KAuO after structural relaxation, with properties calculated at the PBE level.

Cell and atoms, written as POSCAR:
```
KAuO
1.0
-4.5004 0.6873 1.5665
-4.8407 -3.2123 -5.1093
-0.7453 -5.0646 0.0545
Au O K
2 2 2
Cartesian
-2.5994 -0.9701 0.3512
-7.4870 -6.6195 -3.8396
-3.4745 -4.3075 -0.7093
-6.6120 -3.2821 -2.7791
-4.4113 -4.8130 -3.1828
-5.6752 -2.7766 -0.3056
```

**Formation energy without anion corrections**: -0.488 eV per atom
**Volume**: 154.7 Å³ per cell

No. 3
Below is PmNdHo3Tm after structural relaxation, with properties calculated at the PBE level.

Cell and atoms, written as POSCAR:
```
PmNdHo3Tm
1.0
-1.6687 -5.6026 0.5959
3.8864 1.4143 -4.7918
9.2602 -2.0228 6.9134
Ho Nd Tm Pm
6 2 2 2
Cartesian
9.4457 -5.2954 5.6361
3.4710 -4.2115 -0.9042
2.0321 -0.9157 -2.9185
8.0069 -1.9996 3.6218
4.8820 -4.2985 2.2289
6.5959 -1.9126 0.4887
4.6301 -1.0114 3.4567
0.0000 0.0000 0.0000
8.1254 -5.2339 2.5168
3.3525 -0.9772 0.2008
9.9725 -2.8929 0.7275
1.5053 -3.3182 1.9901
```

**ΔE_f**: 0.12 eV/atom
**Volume**: 386.5 Å³ per cell

No. 4
Below is Y2AsOs after structural relaxation, with properties calculated at the PBE level.

Cell and atoms, written as POSCAR:
```
Y2AsOs
1.0
-3.4907 4.2806 3.1634
-5.4127 -1.1030 3.1625
6.1658 -1.3039 -0.8935
As Y Os
1 2 1
Cartesian
-3.9211 1.3995 2.7860
-0.2871 0.1025 0.2040
-0.9602 2.3085 2.7675
-2.0208 -0.3478 2.8378
```

**Energy above the most stable polymorph in this dataset**: 68 kJ/mol of formula units
**ΔE_f**: -0.51 eV/atom
**Volume**: 88.8 Å³ per cell

No. 5
Below is ScGaCoRh after structural relaxation, with properties calculated at the PBE level.

Cell and atoms, written as POSCAR:
```
ScGaCoRh
1.0
-1.1014 4.0878 0.8838
-2.3979 2.2492 -2.8098
-4.1037 0.9757 0.9548
Rh Sc Ga Co
1 1 1 1
Cartesian
-3.8015 3.6563 -0.4856
-5.7022 5.4845 -0.7284
-1.9007 1.8282 -0.2428
0.0000 0.0000 0.0000
```

**ΔE_f**: -0.69 eV/atom
**Volume**: 57.2 Å³ per cell

No. 6
Below is CdAs2SeBr after structural relaxation, with properties calculated at the PBE level.

Cell and atoms, written as POSCAR:
```
CdAs2SeBr
1.0
5.1282 0.0000 0.0000
0.0000 5.1282 0.0000
0.0000 0.0000 5.3298
As Cd Se Br
2 1 1 1
Cartesian
0.0000 2.5641 0.0000
2.5641 0.0000 0.0000
2.5641 2.5641 2.6649
0.0000 0.0000 2.6649
0.0000 0.0000 0.0000
```

**Energy above the most stable polymorph in this dataset**: 188 kJ/mol of formula units
**Formation energy without anion corrections**: 0.996 eV per atom
**Volume**: 140.2 Å³ per cell